(1)
VASP calculation (PBE) on Sm4HgAs2Se after structural relaxation.

Its formation energy without anion corrections is -127 kJ per mole of atoms.

It has space group P2/m (No. 10), with a = 7.3241 Å, b = 4.1918 Å, c = 7.4510 Å, α = 90.00°, β = 108.50° and γ = 90.00°. The distinct sites, in fractional coordinates, are Sm at (0.2332, 0.0000, 0.2336), Sm at (0.2355, 0.5000, 0.7515), Hg at (0.5000, 0.5000, 0.5000), As at (0.0000, 0.0000, 0.5000), As at (0.0000, 0.5000, 0.0000) and Se at (0.5000, 0.0000, 0.0000).

=====

(2)
VASP calculation (PBE) on Cr2CdRu after structural relaxation.

The formation enthalpy at 0 K is 0.2497 eV per atom.

It has space group P4mm (No. 99), with a = 2.9773 Å, b = 2.9773 Å, c = 6.7362 Å, α = 90.00°, β = 90.00° and γ = 90.00°. The distinct sites, in fractional coordinates, are Cr at (0.0000, 0.0000, 0.0000), Cr at (0.5000, 0.5000, 0.1999), Cd at (0.5000, 0.5000, 0.7055) and Ru at (0.0000, 0.0000, 0.4113).

=====

(3)
VASP calculation (PBE) on Y2Be4Al after structural relaxation.

The formation enthalpy at 0 K is 0.4438 eV per atom.

It has space group I4/mmm (No. 139), with a = 4.2244 Å, b = 4.2244 Å, c = 14.3550 Å, α = 90.00°, β = 90.00° and γ = 90.00°. The distinct sites, in fractional coordinates, are Y at (0.0000, 0.0000, 0.1447), Be at (0.0000, 0.0000, 0.3414), Be at (0.0000, 0.5000, 0.0000) and Al at (0.0000, 0.0000, 0.5000).

=====

(4)
VASP calculation (PBE) on SrY2ZnO after structural relaxation.

Its formation energy without anion corrections is -108 kJ per mole of atoms.

It has space group P4/mmm (No. 123), with a = 4.7805 Å, b = 4.7805 Å, c = 5.0802 Å, α = 90.00°, β = 90.00° and γ = 90.00°. The distinct sites, in fractional coordinates, are Sr at (0.0000, 0.0000, 0.0000), Y at (0.0000, 0.5000, 0.5000), Zn at (0.5000, 0.5000, 0.0000) and O at (0.0000, 0.0000, 0.5000).

=====

(5)
VASP calculation (PBE) on TmScAlAu after structural relaxation.

As for the energy above the most stable polymorph in this dataset: 50 meV/atom. The formation enthalpy at 0 K is -0.5766 eV per atom.

It has space group F-43m (No. 216), with a = 6.9974 Å, b = 6.9974 Å, c = 6.9974 Å, α = 90.00°, β = 90.00° and γ = 90.00°. The distinct sites, in fractional coordinates, are Tm at (0.0000, 0.0000, 0.0000), Sc at (0.0000, 0.0000, 0.5000), Al at (0.2500, 0.2500, 0.2500) and Au at (0.2500, 0.2500, 0.7500).

=====

(6)
VASP calculation (PBE) on KRbBe2 after structural relaxation.

As for the energy above the most stable polymorph in this dataset: 829 meV/atom. The formation enthalpy at 0 K is 1.2963 eV per atom.

It has space group I-42d (No. 122), with a = 9.3609 Å, b = 9.3609 Å, c = 6.1147 Å, α = 90.00°, β = 90.00° and γ = 90.00°. The distinct sites, in fractional coordinates, are K at (0.0000, 0.0000, 0.0000), Rb at (0.0000, 0.0000, 0.5000) and Be at (0.2421, 0.2500, 0.1250).

=====

(7)
VASP calculation (PBE) on Tb6MgNi2 after structural relaxation.

The formation enthalpy at 0 K is -0.2154 eV per atom.

It has space group Immm (No. 71), with a = 9.3342 Å, b = 9.7208 Å, c = 10.2484 Å, α = 90.00°, β = 90.00° and γ = 90.00°. The distinct sites, in fractional coordinates, are Tb at (0.0000, 0.2009, 0.2332), Tb at (0.1909, 0.5000, 0.1797), Tb at (0.2083, 0.3167, 0.5000), Mg at (0.0000, 0.0000, 0.0000), Mg at (0.0000, 0.0000, 0.5000), Ni at (0.0000, 0.3434, 0.0000) and Ni at (0.0000, 0.5000, 0.3792).

=====

(8)
VASP calculation (PBE) on BaMgPb2I8 after structural relaxation.

Its formation energy without anion corrections is -93 kJ per mole of atoms.

It has space group P2/m (No. 10), with a = 7.3018 Å, b = 9.7040 Å, c = 7.7168 Å, α = 90.00°, β = 91.37° and γ = 90.00°. The distinct sites, in fractional coordinates, are Ba at (0.0000, 0.0000, 0.0000), Mg at (0.0000, 0.5000, 0.0000), Pb at (0.5000, 0.2674, 0.5000), I at (0.2375, 0.2858, 0.1490), I at (0.2376, 0.5000, 0.6699) and I at (0.2700, 0.0000, 0.6401).

=====

(9)
VASP calculation (PBE) on TiMoPd2 after structural relaxation.

As for the energy above the most stable polymorph in this dataset: 448 meV/atom. The formation enthalpy at 0 K is 0.1855 eV per atom.

It has space group I-42d (No. 122), with a = 7.0829 Å, b = 7.0829 Å, c = 5.3148 Å, α = 90.00°, β = 90.00° and γ = 90.00°. The distinct sites, in fractional coordinates, are Ti at (0.0000, 0.0000, 0.0000), Mo at (0.0000, 0.0000, 0.5000) and Pd at (0.2429, 0.2500, 0.1250).

=====

(10)
VASP calculation (PBE) on SnAs2P after structural relaxation.

As for the energy above the most stable polymorph in this dataset: 0 meV/atom. The formation enthalpy at 0 K is 0.2443 eV per atom.

It has space group I-42d (No. 122), with a = 5.5132 Å, b = 5.5132 Å, c = 13.9776 Å, α = 90.00°, β = 90.00° and γ = 90.00°. The distinct sites, in fractional coordinates, are Sn at (0.0000, 0.0000, 0.0000), As at (0.2013, 0.2500, 0.6250) and P at (0.0000, 0.0000, 0.5000).

=====

(11)
VASP calculation (PBE) on FeAuSeN2 after structural relaxation.

As for the energy above the most stable polymorph in this dataset: 0 meV/atom. Its formation energy without anion corrections is 79 kJ per mole of atoms.

It has space group P4/mmm (No. 123), with a = 3.6131 Å, b = 3.6131 Å, c = 5.5364 Å, α = 90.00°, β = 90.00° and γ = 90.00°. The distinct sites, in fractional coordinates, are Fe at (0.0000, 0.0000, 0.0000), Au at (0.5000, 0.5000, 0.5000), Se at (0.0000, 0.0000, 0.5000) and N at (0.0000, 0.5000, 0.0000).

=====

(12)
VASP calculation (PBE) on Li4CO4 after structural relaxation.

Its formation energy without anion corrections is -166 kJ per mole of atoms.

It has space group I222 (No. 23), with a = 4.3735 Å, b = 5.7849 Å, c = 7.0260 Å, α = 90.00°, β = 90.00° and γ = 90.00°. The distinct sites, in fractional coordinates, are Li at (0.1312, 0.1907, 0.1573), C at (0.0000, 0.5000, 0.5000) and O at (0.1912, 0.3604, 0.3848).

=====

(13)
VASP calculation (PBE) on Pm3AgC4O12 after structural relaxation.

Its formation energy without anion corrections is -187 kJ per mole of atoms.

It has space group R32 (No. 155, hexagonal axes), with a = 10.1110 Å, b = 10.1110 Å, c = 10.0905 Å, α = 90.00°, β = 90.00° and γ = 120.00°. The distinct sites, in fractional coordinates, are Pm at (0.0000, 0.5290, 0.0000), Ag at (0.0000, 0.0000, 0.0000), C at (0.0000, 0.0000, 0.5000), C at (0.0000, 0.4860, 0.5000), O at (0.0000, 0.6166, 0.5000), O at (0.0000, 0.8718, 0.5000) and O at (0.0502, 0.2465, 0.7500).

=====

(14)
VASP calculation (PBE) on Rb2Tl4Bi3Pb after structural relaxation.

The formation enthalpy at 0 K is -0.1435 eV per atom.

It has space group P-4m2 (No. 115), with a = 5.2206 Å, b = 5.2206 Å, c = 14.2052 Å, α = 90.00°, β = 90.00° and γ = 90.00°. The distinct sites, in fractional coordinates, are Rb at (0.0000, 0.5000, 0.2486), Tl at (0.0000, 0.0000, 0.0000), Tl at (0.0000, 0.5000, 0.6400), Tl at (0.5000, 0.5000, 0.0000), Bi at (0.0000, 0.5000, 0.8668), Bi at (0.5000, 0.5000, 0.5000) and Pb at (0.0000, 0.0000, 0.5000).

=====

(15)
VASP calculation (PBE) on Pm12In6Co after structural relaxation.

The formation enthalpy at 0 K is -0.2044 eV per atom.

It has space group R-3 (No. 148, hexagonal axes), with a = 12.3882 Å, b = 12.3882 Å, c = 13.4666 Å, α = 90.00°, β = 90.00° and γ = 120.00°. The distinct sites, in fractional coordinates, are Pm at (0.0381, 0.1902, 0.3893), Pm at (0.0409, 0.8540, 0.8734), In at (0.0038, 0.4012, 0.2603) and Co at (0.0000, 0.0000, 0.0000).

=====

(16)
VASP calculation (PBE) on La3Co3Bi after structural relaxation.

The formation enthalpy at 0 K is -0.3079 eV per atom.

It has space group P6_3/m (No. 176), with a = 9.6777 Å, b = 9.6777 Å, c = 4.3341 Å, α = 90.00°, β = 90.00° and γ = 120.00°. The distinct sites, in fractional coordinates, are La at (0.0652, 0.3756, 0.2500), Co at (0.0073, 0.1433, 0.7500) and Bi at (0.3333, 0.6667, 0.7500).

=====

(17)
VASP calculation (PBE) on Na3TaCl after structural relaxation.

As for the energy above the most stable polymorph in this dataset: 0 meV/atom. Its formation energy without anion corrections is 50 kJ per mole of atoms.

It has space group Pm-3m (No. 221), with a = 5.3031 Å, b = 5.3031 Å, c = 5.3031 Å, α = 90.00°, β = 90.00° and γ = 90.00°. The distinct sites, in fractional coordinates, are Na at (0.0000, 0.0000, 0.5000), Ta at (0.5000, 0.5000, 0.5000) and Cl at (0.0000, 0.0000, 0.0000).

=====

(18)
VASP calculation (PBE) on DyY2Ga9 after structural relaxation.

The formation enthalpy at 0 K is -0.5369 eV per atom.

It has space group P4/mmm (No. 123), with a = 4.2788 Å, b = 4.2788 Å, c = 12.8349 Å, α = 90.00°, β = 90.00° and γ = 90.00°. The distinct sites, in fractional coordinates, are Dy at (0.0000, 0.0000, 0.0000), Y at (0.0000, 0.0000, 0.3331), Ga at (0.0000, 0.5000, 0.1661), Ga at (0.0000, 0.5000, 0.5000), Ga at (0.5000, 0.5000, 0.0000) and Ga at (0.5000, 0.5000, 0.3334).

=====

(19)
VASP calculation (PBE) on PrHoMgPb after structural relaxation.

The formation enthalpy at 0 K is -0.2938 eV per atom.

It has space group F-43m (No. 216), with a = 7.6985 Å, b = 7.6985 Å, c = 7.6985 Å, α = 90.00°, β = 90.00° and γ = 90.00°. The distinct sites, in fractional coordinates, are Pr at (0.0000, 0.0000, 0.0000), Ho at (0.0000, 0.0000, 0.5000), Mg at (0.2500, 0.2500, 0.2500) and Pb at (0.2500, 0.2500, 0.7500).

=====

(20)
VASP calculation (PBE) on KZr3Ag after structural relaxation.

As for the energy above the most stable polymorph in this dataset: 0 meV/atom. The formation enthalpy at 0 K is 1.0975 eV per atom.

It has space group Pm-3m (No. 221), with a = 5.3381 Å, b = 5.3381 Å, c = 5.3381 Å, α = 90.00°, β = 90.00° and γ = 90.00°. The distinct sites, in fractional coordinates, are K at (0.0000, 0.0000, 0.0000), Zr at (0.0000, 0.5000, 0.5000) and Ag at (0.5000, 0.5000, 0.5000).